! CaPr12Er7 | Alexandria | GGA-PBE | relaxed; values from VASP
! - symmetry = Im-3
! - ΔE_f (eV/atom) = 0.64
&SYSTEM
  ibrav = 0, nat = 20, ntyp = 3
/
ATOMIC_SPECIES
Ca 40.08 Ca.upf
Pr 140.91 Pr.upf
Er 167.26 Er.upf
CELL_PARAMETERS angstrom
-0.552 -9.206 -4.117
7.583 0.258 6.666
-8.687 2.113 4.699
ATOMIC_POSITIONS crystal
Ca 0.000 0.000 0.000
Pr 0.479 0.710 0.769
Pr 0.941 0.710 0.231
Pr 0.521 0.290 0.231
Pr 0.059 0.290 0.769
Pr 0.769 0.059 0.290
Pr 0.769 0.479 0.710
Pr 0.231 0.941 0.710
Pr 0.231 0.521 0.290
Pr 0.710 0.769 0.479
Pr 0.290 0.231 0.521
Pr 0.710 0.231 0.941
Pr 0.290 0.769 0.059
Er 0.500 0.500 0.000
Er 0.000 0.500 0.500
Er 0.500 0.000 0.500
Er 0.500 0.500 0.500
Er 0.000 0.000 0.500
Er 0.500 0.000 0.000
Er 0.000 0.500 0.000